VASP calculation (GGA-PBE) on an optimized crystal structure of LiPaOsPd.

Its energy is -7.209 eV/atom. For the density of states at the Fermi level, the calculation gives 6.827 states/eV per cell.

The structure belongs to space group F-43m (No. 216); the cell edges are 6.572, 6.572 and 6.572 Å and the angles 90.00°, 90.00° and 90.00°. The distinct sites, in fractional coordinates, are Li at (0.000, 0.000, 0.000), Pa at (0.000, 0.000, 0.500), Os at (0.250, 0.250, 0.750) and Pd at (0.250, 0.250, 0.250).

---

VASP calculation (GGA-PBE) on an optimized crystal structure of LiPrPaOs.

Its energy is -6.766 eV/atom. For the density of states at the Fermi level, the calculation gives 18.174 states/eV per cell.

The structure belongs to space group F-43m (No. 216); the cell edges are 7.048, 7.048 and 7.048 Å and the angles 90.00°, 90.00° and 90.00°. The distinct sites, in fractional coordinates, are Li at (0.000, 0.000, 0.000), Pr at (0.250, 0.250, 0.250), Pa at (0.250, 0.250, 0.750) and Os at (0.000, 0.000, 0.500).

---

VASP calculation (GGA-PBE) on an optimized crystal structure of LiPaSiOs.

Its energy is -7.248 eV/atom. For the density of states at the Fermi level, the calculation gives 7.453 states/eV per cell.

The structure belongs to space group F-43m (No. 216); the cell edges are 6.472, 6.472 and 6.472 Å and the angles 90.00°, 90.00° and 90.00°. The distinct sites, in fractional coordinates, are Li at (0.000, 0.000, 0.000), Pa at (0.250, 0.250, 0.250), Si at (0.250, 0.250, 0.750) and Os at (0.000, 0.000, 0.500).

---

VASP calculation (GGA-PBE) on an optimized crystal structure of LiPaSnOs.

Its energy is -6.909 eV/atom. For the density of states at the Fermi level, the calculation gives 5.709 states/eV per cell.

The structure belongs to space group F-43m (No. 216); the cell edges are 6.719, 6.719 and 6.719 Å and the angles 90.00°, 90.00° and 90.00°. The distinct sites, in fractional coordinates, are Li at (0.000, 0.000, 0.000), Pa at (0.250, 0.250, 0.750), Sn at (0.250, 0.250, 0.250) and Os at (0.000, 0.000, 0.500).

---

VASP calculation (GGA-PBE) on an optimized crystal structure of LiTbPaOs.

Its energy is -6.870 eV/atom. For the density of states at the Fermi level, the calculation gives 16.558 states/eV per cell.

The structure belongs to space group F-43m (No. 216); the cell edges are 6.938, 6.938 and 6.938 Å and the angles 90.00°, 90.00° and 90.00°. The distinct sites, in fractional coordinates, are Li at (0.000, 0.000, 0.000), Tb at (0.250, 0.250, 0.250), Pa at (0.250, 0.250, 0.750) and Os at (0.000, 0.000, 0.500).

---

VASP calculation (GGA-PBE) on an optimized crystal structure of LiPaTiOs.

Its energy is -7.649 eV/atom. For the density of states at the Fermi level, the calculation gives 22.205 states/eV per cell.

The structure belongs to space group F-43m (No. 216); the cell edges are 6.599, 6.599 and 6.599 Å and the angles 90.00°, 90.00° and 90.00°. The distinct sites, in fractional coordinates, are Li at (0.000, 0.000, 0.000), Pa at (0.250, 0.250, 0.750), Ti at (0.250, 0.250, 0.250) and Os at (0.000, 0.000, 0.500).

---

VASP calculation (GGA-PBE) on an optimized crystal structure of LiTmPaOs.

Its energy is -6.892 eV/atom. For the density of states at the Fermi level, the calculation gives 16.557 states/eV per cell.

The structure belongs to space group F-43m (No. 216); the cell edges are 6.887, 6.887 and 6.887 Å and the angles 90.00°, 90.00° and 90.00°. The distinct sites, in fractional coordinates, are Li at (0.000, 0.000, 0.000), Tm at (0.250, 0.250, 0.750), Pa at (0.250, 0.250, 0.250) and Os at (0.000, 0.000, 0.500).

---

VASP calculation (GGA-PBE) on an optimized crystal structure of LiYPaOs.

Its energy is -7.332 eV/atom. For the density of states at the Fermi level, the calculation gives 16.943 states/eV per cell.

The structure belongs to space group F-43m (No. 216); the cell edges are 6.936, 6.936 and 6.936 Å and the angles 90.00°, 90.00° and 90.00°. The distinct sites, in fractional coordinates, are Li at (0.000, 0.000, 0.000), Y at (0.250, 0.250, 0.750), Pa at (0.250, 0.250, 0.250) and Os at (0.000, 0.000, 0.500).

---

VASP calculation (GGA-PBE) on an optimized crystal structure of LiPaZnOs.

Its energy is -6.002 eV/atom. For the density of states at the Fermi level, the calculation gives 15.752 states/eV per cell.

The structure belongs to space group F-43m (No. 216); the cell edges are 6.537, 6.537 and 6.537 Å and the angles 90.00°, 90.00° and 90.00°. The distinct sites, in fractional coordinates, are Li at (0.000, 0.000, 0.000), Pa at (0.250, 0.250, 0.250), Zn at (0.250, 0.250, 0.750) and Os at (0.000, 0.000, 0.500).

---

VASP calculation (GGA-PBE) on an optimized crystal structure of LiOs4Pb.

Its energy is -7.671 eV/atom. For the density of states at the Fermi level, the calculation gives 40.077 states/eV per cell.

The structure belongs to space group F-43m (No. 216); the cell edges are 7.440, 7.440 and 7.440 Å and the angles 90.00°, 90.00° and 90.00°. The distinct sites, in fractional coordinates, are Li at (0.000, 0.000, 0.000), Os at (0.125, 0.125, 0.625) and Pb at (0.250, 0.250, 0.250).

---

VASP calculation (GGA-PBE) on an optimized crystal structure of LiOsPb.

Its energy is -5.058 eV/atom. For the density of states at the Fermi level, the calculation gives 1.546 states/eV per cell. Its relative energy among the computed polymorphs is 0.0541 eV/atom.

The structure belongs to space group P3m1 (No. 156); the cell edges are 4.7570, 4.7570 and 2.8125 Å and the angles 90.00°, 90.00° and 120.00°. The distinct sites, in fractional coordinates, are Li at (0.0000, 0.0000, 0.0000), Os at (0.6667, 0.3333, 0.4908) and Pb at (0.3333, 0.6667, 0.5178).

---

VASP calculation (GGA-PBE) on an optimized crystal structure of LiOsPb2.

Its energy is -4.589 eV/atom. For the density of states at the Fermi level, the calculation gives 5.660 states/eV per cell. Its relative energy among the computed polymorphs is 0.1970 eV/atom.

The structure belongs to space group I-4m2 (No. 119); the cell edges are 4.121, 4.121 and 9.525 Å and the angles 90.00°, 90.00° and 90.00°. The distinct sites, in fractional coordinates, are Li at (0.000, 0.000, 0.000), Os at (0.000, 0.500, 0.750), Pb at (0.000, 0.000, 0.500) and Pb at (0.000, 0.500, 0.250).

---

VASP calculation (GGA-PBE) on an optimized crystal structure of LiOsPb.

Its energy is -4.912 eV/atom. For the density of states at the Fermi level, the calculation gives 12.016 states/eV per cell. Its relative energy among the computed polymorphs is 0.2003 eV/atom.

The structure belongs to space group Fmm2 (No. 42); the cell edges are 3.352, 4.926 and 13.782 Å and the angles 90.00°, 90.00° and 90.00°. The distinct sites, in fractional coordinates, are Li at (0.000, 0.000, 0.000), Os at (0.000, 0.000, 0.643) and Pb at (0.000, 0.000, 0.307).

---

VASP calculation (GGA-PBE) on an optimized crystal structure of LiOsPb2.

Its energy is -4.654 eV/atom. For the density of states at the Fermi level, the calculation gives 4.110 states/eV per cell. Its relative energy among the computed polymorphs is 0.1320 eV/atom.

The structure belongs to space group Cm (No. 8); the cell edges are 10.511, 3.285 and 4.744 Å and the angles 90.00°, 98.84° and 90.00°. The distinct sites, in fractional coordinates, are Li at (0.000, 0.000, 0.000), Os at (0.272, 0.000, 0.722), Pb at (0.032, 0.500, 0.545) and Pb at (0.262, 0.500, 0.202).

---

VASP calculation (GGA-PBE) on an optimized crystal structure of LiOsPb2.

Its energy is -4.560 eV/atom. For the density of states at the Fermi level, the calculation gives 12.575 states/eV per cell. Its relative energy among the computed polymorphs is 0.2261 eV/atom.

The structure belongs to space group R3m (No. 160, hexagonal axes); the cell edges are 3.1394, 3.1394 and 32.0851 Å and the angles 90.00°, 90.00° and 120.00°. The distinct sites, in fractional coordinates, are Li at (0.0000, 0.0000, 0.0000), Os at (0.0000, 0.0000, 0.2703), Pb at (0.0000, 0.0000, 0.5331) and Pb at (0.0000, 0.0000, 0.7488).